Here is Tb2DyEr3As6 after structural relaxation from Alexandria. Energies are from PBE.

Lattice parameters (Å, degrees): 4.108 8.212 9.181 102.89 102.93 90.00
Fractional coordinates of all 12 atoms:
Tb1 0.833 0.667 0.667
Tb2 0.167 0.333 0.333
Dy1 0.500 0.000 0.000
Er1 0.500 0.500 0.000
Er2 0.833 0.167 0.667
Er3 0.167 0.833 0.333
As1 0.333 0.919 0.666
As2 0.666 0.585 0.332
As3 0.667 0.081 0.334
As4 0.999 0.251 0.998
As5 0.001 0.749 0.002
As6 0.334 0.415 0.668

Output
- space group = No. 12
- M_tot (μB/f.u.) = 0.00
- Fermi-level density of states (states/eV/cell) = 1.83
- electronic total energy (eV per atom) = -6.15
- energy relative to the elements (eV per atom) = -1.5292

Here is Tb3DyEr2As6 after structural relaxation from Alexandria. Energies are from PBE.

Lattice parameters (Å, degrees): 7.130 7.130 7.129 99.58 99.58 120.00
Fractional coordinates of all 12 atoms:
Tb1 0.166 0.834 0.500
Tb2 0.834 0.166 0.500
Tb3 0.500 0.500 0.500
Dy1 0.000 0.000 0.000
Er1 0.333 0.667 0.000
Er2 0.667 0.333 0.000
As1 0.918 0.583 0.753
As2 0.748 0.748 0.247
As3 0.082 0.417 0.247
As4 0.583 0.918 0.753
As5 0.252 0.252 0.753
As6 0.417 0.082 0.247

Output
- space group = No. 12
- M_tot (μB/f.u.) = 0.00
- Fermi-level density of states (states/eV/cell) = 1.86
- electronic total energy (eV per atom) = -6.16
- energy relative to the elements (eV per atom) = -1.5328

Here is TbDy2ErAs4 after structural relaxation from Alexandria. Energies are from PBE.

Lattice parameters (Å, degrees): 4.116 7.126 7.125 70.53 90.00 90.00
Fractional coordinates of all 8 atoms:
Tb1 0.500 0.500 0.000
Dy1 0.000 0.000 0.000
Dy2 0.500 0.000 0.500
Er1 0.000 0.500 0.500
As1 0.000 0.750 0.748
As2 0.000 0.250 0.252
As3 0.500 0.749 0.252
As4 0.500 0.251 0.748

Output
- space group = No. 10
- M_tot (μB/f.u.) = 0.00
- Fermi-level density of states (states/eV/cell) = 0.99
- electronic total energy (eV per atom) = -6.16
- energy relative to the elements (eV per atom) = -1.5334

Here is TbDy3Er2As6 after structural relaxation from Alexandria. Energies are from PBE.

Lattice parameters (Å, degrees): 7.118 7.118 7.117 99.58 99.58 119.99
Fractional coordinates of all 12 atoms:
Tb1 0.000 0.000 0.000
Dy1 0.166 0.834 0.500
Dy2 0.834 0.166 0.500
Dy3 0.500 0.500 0.500
Er1 0.333 0.667 0.000
Er2 0.667 0.333 0.000
As1 0.917 0.582 0.751
As2 0.748 0.748 0.249
As3 0.083 0.418 0.249
As4 0.582 0.917 0.751
As5 0.252 0.252 0.751
As6 0.418 0.083 0.249

Output
- space group = No. 12
- M_tot (μB/f.u.) = 0.00
- Fermi-level density of states (states/eV/cell) = 1.87
- electronic total energy (eV per atom) = -6.15
- energy relative to the elements (eV per atom) = -1.5311

Here is DyEr2ThAs4 after structural relaxation from Alexandria. Energies are from PBE.

Lattice parameters (Å, degrees): 4.145 7.155 7.162 70.51 90.00 90.00
Fractional coordinates of all 8 atoms:
Dy1 0.000 0.500 0.500
Er1 0.000 0.000 0.000
Er2 0.500 0.000 0.500
Th1 0.500 0.500 0.000
As1 0.000 0.758 0.744
As2 0.000 0.242 0.256
As3 0.500 0.755 0.251
As4 0.500 0.245 0.749

Output
- space group = No. 10
- M_tot (μB/f.u.) = 0.00
- Fermi-level density of states (states/eV/cell) = 1.49
- electronic total energy (eV per atom) = -6.47
- energy relative to the elements (eV per atom) = -1.5045

Here is DyErTm2As4 after structural relaxation from Alexandria. Energies are from PBE.

Lattice parameters (Å, degrees): 4.083 7.069 7.069 70.54 90.00 90.00
Fractional coordinates of all 8 atoms:
Dy1 0.500 0.500 0.000
Er1 0.000 0.500 0.500
Tm1 0.000 0.000 0.000
Tm2 0.500 0.000 0.500
As1 0.000 0.753 0.748
As2 0.000 0.247 0.252
As3 0.500 0.752 0.250
As4 0.500 0.248 0.750

Output
- space group = No. 10
- M_tot (μB/f.u.) = 0.00
- Fermi-level density of states (states/eV/cell) = 1.09
- electronic total energy (eV per atom) = -6.11
- energy relative to the elements (eV per atom) = -1.5167